Entry 1:
## CaHO2F (PBE)

Data for CaHO2F after structural relaxation.

The space group is P4/mmm (No. 123) and the conventional cell measures 3.209, 3.209 and 4.436 Å, with angles of 90.00, 90.00 and 90.00 degrees. The asymmetric unit holds Ca at (0.000, 0.000, 0.000), H at (0.500, 0.500, 0.500), O at (0.000, 0.500, 0.500) and F at (0.500, 0.500, 0.000).

The calculation puts the total DFT energy (no corrections) at -4.67 eV/atom. For the density of states at the Fermi level, the calculation gives 1.112 states/eV/f.u.

Entry 2:
## CsNpNbO6 (PBE)

Data for CsNpNbO6 after structural relaxation.

The space group is Imma (No. 74) and the conventional cell measures 7.541, 7.859 and 10.857 Å, with angles of 90.00, 90.00 and 90.00 degrees. The asymmetric unit holds Cs at (0.000, 0.250, 0.119), Np at (0.000, 0.000, 0.500), Nb at (0.250, 0.250, 0.750), O at (0.000, 0.250, 0.428), O at (0.000, 0.250, 0.807) and O at (0.192, 0.066, 0.626).

The formation energy from raw total energies comes out at -2.606 eV per atom. The calculation puts the total DFT energy (no corrections) at -8.56 eV/atom. For the density of states at the Fermi level, the calculation gives 1.087 states/eV/f.u.